{"formula": "Be3SiSb", "functional": "PBE", "state": "optimized geometry", "total_energy_ev_per_cell": -13.53, "de_polymorph_mev_per_atom": 664.5, "raw_formation_energy_ev_per_atom": 1.4389, "lattice_angstrom": [[4.600, 0.000, 0.000], [0.000, 4.600, 0.000], [0.000, 0.000, 4.600]], "species": ["Sb", "Si", "Be", "Be", "Be"], "frac_coords": [[0.000, 0.000, 0.000], [0.500, 0.500, 0.500], [0.000, 0.500, 0.000], [0.000, 0.000, 0.500], [0.500, 0.000, 0.000]]}